Density functional theory data (PBE) for a geometry-optimized Na2LiSbF6 structure.

VASP energy (hartree per atom): -0.16519
SG: Fm-3m (225)
Total magnetization (μB per formula unit): 0.00
Formation energy without anion corrections (eV per atom): -2.50

Structure (POSCAR):
```
Na2LiSbF6
1.0
0.268 -5.802 1.210
-3.523 -3.799 -2.891
2.311 -3.755 -3.970
F Na Sb Li
6 2 1 1
Direct
0.741 0.259 0.259
0.741 0.741 0.259
0.259 0.741 0.741
0.259 0.741 0.259
0.741 0.259 0.741
0.259 0.259 0.741
0.750 0.750 0.750
0.250 0.250 0.250
0.000 0.000 0.000
0.500 0.500 0.500
```


Density functional theory data (PBE) for a geometry-optimized NaLiScF5 structure.

VASP energy (hartree per atom): -0.21273
SG: C2/c (15)
Total magnetization (μB per formula unit): 0.07
Formation energy without anion corrections (eV per atom): -3.42

Structure (POSCAR):
```
NaLiScF5
1.0
5.760 -0.085 -0.059
-1.763 5.485 -0.059
-1.733 -2.340 7.103
F Na Sc Li
10 2 2 2
Direct
0.915 0.085 0.750
0.085 0.915 0.250
0.691 0.071 0.377
0.071 0.691 0.877
0.370 0.253 0.076
0.253 0.370 0.576
0.747 0.630 0.424
0.630 0.747 0.924
0.929 0.309 0.123
0.309 0.929 0.623
0.655 0.345 0.750
0.345 0.655 0.250
0.000 0.000 0.500
0.000 0.000 0.000
0.687 0.313 0.250
0.313 0.687 0.750
```


Density functional theory data (PBE) for a geometry-optimized Na3Li3Sc2F12 structure.

VASP energy (hartree per atom): -0.20486
SG: Ia-3d (230)
Total magnetization (μB per formula unit): 0.00
Formation energy without anion corrections (eV per atom): -3.33

Structure (POSCAR):
```
Na3Li3Sc2F12
1.0
11.042 0.000 0.000
-3.681 10.411 0.000
-3.681 -5.205 9.016
Sc F Na Li
8 48 12 12
Direct
0.500 0.500 0.000
0.000 0.000 0.500
0.000 0.500 0.500
0.500 0.500 0.500
0.500 0.000 0.000
0.000 0.000 0.000
0.500 0.000 0.500
0.000 0.500 0.000
0.322 0.901 0.020
0.520 0.401 0.822
0.921 0.301 0.322
0.822 0.520 0.401
0.801 0.881 0.980
0.881 0.401 0.079
0.599 0.178 0.480
0.619 0.699 0.520
0.020 0.199 0.119
0.178 0.199 0.579
0.901 0.381 0.579
0.699 0.678 0.079
0.520 0.619 0.699
0.421 0.822 0.801
0.199 0.119 0.020
0.301 0.322 0.921
0.020 0.322 0.901
0.980 0.801 0.881
0.301 0.480 0.381
0.480 0.381 0.301
0.980 0.678 0.099
0.119 0.599 0.921
0.421 0.099 0.619
0.381 0.579 0.901
0.199 0.579 0.178
0.678 0.099 0.980
0.079 0.699 0.678
0.619 0.421 0.099
0.822 0.801 0.421
0.119 0.020 0.199
0.678 0.079 0.699
0.921 0.119 0.599
0.079 0.881 0.401
0.579 0.901 0.381
0.099 0.980 0.678
0.401 0.822 0.520
0.480 0.599 0.178
0.901 0.020 0.322
0.801 0.421 0.822
0.599 0.921 0.119
0.699 0.520 0.619
0.401 0.079 0.881
0.381 0.301 0.480
0.579 0.178 0.199
0.178 0.480 0.599
0.322 0.921 0.301
0.881 0.980 0.801
0.099 0.619 0.421
0.250 0.375 0.125
0.875 0.750 0.625
0.375 0.125 0.250
0.625 0.875 0.750
0.625 0.250 0.875
0.250 0.875 0.625
0.750 0.125 0.375
0.375 0.750 0.125
0.750 0.625 0.875
0.125 0.375 0.750
0.875 0.625 0.250
0.125 0.250 0.375
0.250 0.125 0.875
0.375 0.250 0.625
0.875 0.250 0.125
0.750 0.375 0.625
0.625 0.750 0.375
0.625 0.375 0.250
0.375 0.625 0.750
0.125 0.750 0.875
0.125 0.875 0.250
0.875 0.125 0.750
0.250 0.625 0.375
0.750 0.875 0.125
```


Density functional theory data (PBE) for a geometry-optimized Na2LiSeF structure.

VASP energy (hartree per atom): -0.10951
SG: P4/mmm (123)
Total magnetization (μB per formula unit): 0.00
Formation energy without anion corrections (eV per atom): -1.00

Structure (POSCAR):
```
Na2LiSeF
1.0
-5.100 0.057 1.926
-0.390 -4.050 -0.913
1.858 -1.297 4.959
F Se Li Na
1 1 1 2
Direct
0.500 0.500 0.500
0.000 0.500 0.000
0.000 0.000 0.000
0.000 0.000 0.500
0.500 0.000 0.000
```


Density functional theory data (PBE) for a geometry-optimized Na2LiSeF structure.

VASP energy (hartree per atom): -0.13603
SG: P4/mmm (123)
Total magnetization (μB per formula unit): 0.00
Formation energy without anion corrections (eV per atom): -1.72

Structure (POSCAR):
```
Na2LiSeF
1.0
-1.270 3.129 3.000
-0.895 -3.248 3.009
3.911 0.231 1.414
Na Li Se F
2 1 1 1
Direct
0.500 0.000 0.000
0.000 0.500 0.000
0.000 0.000 0.500
0.500 0.500 0.500
0.000 0.000 0.000
```


Density functional theory data (PBE) for a geometry-optimized NaLi2SiF8 structure.

VASP energy (hartree per atom): -0.18034
SG: P2/m (10)
Total magnetization (μB per formula unit): 1.02
Formation energy without anion corrections (eV per atom): -2.78

Structure (POSCAR):
```
NaLi2SiF8
1.0
-4.103 0.818 -1.963
1.203 -2.580 -3.512
-2.460 -5.198 2.975
F Na Li Si
8 1 2 1
Direct
0.829 0.197 0.810
0.720 0.744 0.000
0.171 0.803 0.810
0.594 0.695 0.500
0.171 0.803 0.190
0.406 0.305 0.500
0.829 0.197 0.190
0.280 0.256 0.000
0.000 0.000 0.500
0.500 0.500 0.781
0.500 0.500 0.219
0.000 0.000 0.000
```


What did the sixth record say?
Density functional theory data (PBE) for a geometry-optimized NaLi2SiF8 structure.

VASP energy (hartree per atom): -0.18034
SG: P2/m (10)
Total magnetization (μB per formula unit): 1.02
Formation energy without anion corrections (eV per atom): -2.78

Structure (POSCAR):
```
NaLi2SiF8
1.0
-4.103 0.818 -1.963
1.203 -2.580 -3.512
-2.460 -5.198 2.975
F Na Li Si
8 1 2 1
Direct
0.829 0.197 0.810
0.720 0.744 0.000
0.171 0.803 0.810
0.594 0.695 0.500
0.171 0.803 0.190
0.406 0.305 0.500
0.829 0.197 0.190
0.280 0.256 0.000
0.000 0.000 0.500
0.500 0.500 0.781
0.500 0.500 0.219
0.000 0.000 0.000
```